No. 1
9
Lattice="5.046 0.000 0.000 0.000 5.046 0.000 0.000 0.000 8.758" Properties=species:S:1:pos:R:3 comment="BaGa2HgAu5 | the Alexandria database | GGA-PBE | optimized geometry" vol_a3_per_cell=223.0 m_tot_mub_per_cell=0.0 sg="P4/mmm (123)" pbc="T T T"
Ba 0.000 0.000 0.000
Ga 2.523 2.523 2.519
Ga 2.523 2.523 6.239
Hg 0.000 0.000 4.379
Au 0.000 2.523 2.820
Au 0.000 2.523 5.939
Au 2.523 0.000 2.820
Au 2.523 0.000 5.939
Au 2.523 2.523 0.000

No. 2
9
Lattice="0.000 6.511 7.251 2.416 0.000 7.251 2.416 6.511 0.000" Properties=species:S:1:pos:R:3 comment="Y6OsRu2 | the Alexandria database | GGA-PBE | optimized geometry" vol_a3_per_cell=228.1 m_tot_mub_per_cell=0.0 sg="Fmmm (69)" pbc="T T T"
Y 2.416 1.653 7.251
Y 2.416 4.858 4.840
Y 2.416 8.164 4.840
Y 2.416 4.858 9.662
Y 2.416 8.164 9.662
Y 2.416 11.369 7.251
Os 2.416 6.511 7.251
Ru 2.416 6.511 2.427
Ru 2.416 6.511 12.074

No. 3
24
Lattice="4.915 0.000 0.000 -2.458 4.257 0.000 0.000 0.000 16.229" Properties=species:S:1:pos:R:3 comment="Y2ScNi9 | the Alexandria database | GGA-PBE | optimized geometry" vol_a3_per_cell=339.6 m_tot_mub_per_cell=1.4 sg="P6_3/mmc (194)" pbc="T T T"
Y 0.000 2.838 0.716
Y 0.000 2.838 7.398
Y 2.458 1.419 8.831
Y 2.458 1.419 15.513
Sc 0.000 2.838 4.057
Sc 2.458 1.419 12.172
Ni 0.000 0.000 0.000
Ni 0.000 0.000 4.057
Ni 0.000 0.000 8.114
Ni 0.000 0.000 12.172
Ni 0.000 1.421 10.202
Ni 0.000 1.421 14.141
Ni -1.227 3.546 10.202
Ni -1.227 3.546 14.141
Ni 0.000 2.838 12.172
Ni 1.230 0.710 2.088
Ni 1.230 0.710 6.026
Ni 1.227 3.546 10.202
Ni 1.227 3.546 14.141
Ni 2.458 1.419 4.057
Ni 3.685 0.710 2.088
Ni 3.685 0.710 6.026
Ni 2.458 2.836 2.088
Ni 2.458 2.836 6.026

Record-wise formation energy values, in eV per atom: -0.254 -0.279 -0.373